# 1
! ZrIrRu2, optimized geometry, DFT PBE; values from VASP
&SYSTEM
  ibrav = 0, nat = 4, ntyp = 3
/
ATOMIC_SPECIES
Ir 192.22 Ir.upf
Ru 101.07 Ru.upf
Zr 91.22 Zr.upf
CELL_PARAMETERS angstrom
-1.423 7.767 -5.188
-2.236 5.856 -7.069
-4.053 6.801 -5.156
ATOMIC_POSITIONS angstrom
Ir -5.742 15.206 -12.965
Ru -7.703 20.398 -17.391
Ru -1.983 5.253 -4.478
Zr -3.852 10.201 -8.697
! Relative energy among the computed polymorphs   449 meV/atom
! ΔE_f   0.10 eV per atom

# 2
! HoTl2Au, optimized geometry, DFT PBE; values from VASP
&SYSTEM
  ibrav = 0, nat = 4, ntyp = 3
/
ATOMIC_SPECIES
Tl 204.38 Tl.upf
Au 196.97 Au.upf
Ho 164.93 Ho.upf
CELL_PARAMETERS angstrom
-0.439 2.752 3.765
3.655 -1.979 1.872
2.691 3.113 -1.962
ATOMIC_POSITIONS angstrom
Tl 1.345 1.556 -0.981
Tl 1.827 -0.989 0.936
Au 2.953 1.943 1.838
Ho -0.219 1.376 1.883
! Relative energy among the computed polymorphs   0 meV/atom
! ΔE_f   -0.30 eV per atom

# 3
! LiB2, optimized geometry, DFT PBE; values from VASP
&SYSTEM
  ibrav = 0, nat = 6, ntyp = 2
/
ATOMIC_SPECIES
Li 6.94 Li.upf
B 10.81 B.upf
CELL_PARAMETERS angstrom
-2.249 -0.735 -2.128
0.754 -3.990 2.180
-2.264 2.543 3.103
ATOMIC_POSITIONS angstrom
Li -1.128 -0.146 0.841
Li -2.631 -2.035 2.314
B -2.090 -2.843 -0.173
B -1.669 0.662 3.327
B -2.876 0.472 2.288
B -0.884 -2.653 0.867
! Relative energy among the computed polymorphs   70 meV/atom
! ΔE_f   -0.04 eV per atom

# 4
! BaCr2TcAs, optimized geometry, DFT PBE; values from VASP
&SYSTEM
  ibrav = 0, nat = 5, ntyp = 4
/
ATOMIC_SPECIES
Cr 52.00 Cr.upf
As 74.92 As.upf
Ba 137.33 Ba.upf
Tc 98.00 Tc.upf
CELL_PARAMETERS angstrom
4.937 0.000 0.000
0.000 4.842 0.000
0.000 0.000 4.937
ATOMIC_POSITIONS angstrom
Cr 0.000 0.000 2.468
Cr 2.468 0.000 0.000
As 0.000 0.000 0.000
Ba 2.468 2.421 2.468
Tc 0.000 2.421 0.000
! ΔE_f   0.69 eV per atom

# 5
! PmTm4Cd4, optimized geometry, DFT PBE; values from VASP
&SYSTEM
  ibrav = 0, nat = 18, ntyp = 3
/
ATOMIC_SPECIES
Pm 145.00 Pm.upf
Tm 168.93 Tm.upf
Cd 112.41 Cd.upf
CELL_PARAMETERS angstrom
5.479 0.000 0.000
0.000 9.481 0.000
0.000 0.000 9.481
ATOMIC_POSITIONS angstrom
Pm 0.000 0.000 0.000
Pm 2.740 4.740 4.740
Tm 2.428 4.036 8.063
Tm 5.167 6.158 8.777
Tm 2.428 5.444 1.418
Tm 0.312 0.704 6.158
Tm 3.051 8.063 5.444
Tm 0.312 8.777 3.322
Tm 5.167 3.322 0.704
Tm 3.051 1.418 4.036
Cd 3.043 8.477 1.918
Cd 3.043 1.004 7.563
Cd 0.304 6.658 5.744
Cd 5.175 3.736 6.658
Cd 5.175 5.744 2.823
Cd 2.436 1.918 1.004
Cd 2.436 7.563 8.477
Cd 0.304 2.823 3.736
! ΔE_f   -0.10 eV per atom

# 6
! BePPbCl2, optimized geometry, DFT PBE; values from VASP
&SYSTEM
  ibrav = 0, nat = 5, ntyp = 4
/
ATOMIC_SPECIES
Pb 207.20 Pb.upf
P 30.97 P.upf
Be 9.01 Be.upf
Cl 35.45 Cl.upf
CELL_PARAMETERS angstrom
-0.486 3.688 3.801
0.023 -3.816 3.705
4.330 0.290 0.272
ATOMIC_POSITIONS angstrom
Pb 1.933 0.081 3.889
P 2.165 0.145 0.136
Be 0.000 0.000 0.000
Cl 0.011 -1.908 1.852
Cl -0.243 1.844 1.901
! Relative energy among the computed polymorphs   0 meV/atom
! Raw formation energy   -2.07 kcal/mol of atoms

# 7
! Na2CaHg, optimized geometry, DFT PBE; values from VASP
&SYSTEM
  ibrav = 0, nat = 4, ntyp = 3
/
ATOMIC_SPECIES
Na 22.99 Na.upf
Ca 40.08 Ca.upf
Hg 200.59 Hg.upf
CELL_PARAMETERS angstrom
5.581 0.000 0.000
0.000 4.667 0.000
0.000 0.000 4.667
ATOMIC_POSITIONS angstrom
Na 0.000 0.000 2.334
Na 0.000 2.334 0.000
Ca 2.791 0.000 0.000
Hg 2.791 2.334 2.334
! ΔE_f   -0.17 eV per atom

# 8
! CePm5Pr4, optimized geometry, DFT PBE; values from VASP
&SYSTEM
  ibrav = 0, nat = 10, ntyp = 3
/
ATOMIC_SPECIES
Ce 140.12 Ce.upf
Pm 145.00 Pm.upf
Pr 140.91 Pr.upf
CELL_PARAMETERS angstrom
-4.260 0.293 2.791
-1.902 -8.421 -2.019
7.239 1.706 6.207
ATOMIC_POSITIONS angstrom
Ce -2.130 0.146 1.396
Pm 0.715 -0.941 5.851
Pm -0.394 -6.077 4.698
Pm 1.472 -0.345 2.282
Pm -3.081 -4.064 0.386
Pm 0.363 -5.481 1.129
Pr 2.202 -3.665 3.744
Pr 1.277 -4.176 7.049
Pr -1.124 -2.757 3.235
Pr -0.200 -2.247 -0.069
! ΔE_f   0.26 eV per atom

# 9
! GaSiRu2, optimized geometry, DFT PBE; values from VASP
&SYSTEM
  ibrav = 0, nat = 4, ntyp = 3
/
ATOMIC_SPECIES
Ru 101.07 Ru.upf
Si 28.09 Si.upf
Ga 69.72 Ga.upf
CELL_PARAMETERS angstrom
-0.138 0.015 4.211
-2.755 2.475 2.009
-3.290 -1.704 2.006
ATOMIC_POSITIONS angstrom
Ru -1.546 0.196 2.057
Ru -4.637 0.589 6.170
Si 0.000 0.000 0.000
Ga -3.091 0.393 4.113
! Relative energy among the computed polymorphs   20 meV/atom
! Raw formation energy   -11.26 kcal/mol of atoms

# 10
! BeRu2Pb, optimized geometry, DFT PBE; values from VASP
&SYSTEM
  ibrav = 0, nat = 4, ntyp = 3
/
ATOMIC_SPECIES
Pb 207.20 Pb.upf
Ru 101.07 Ru.upf
Be 9.01 Be.upf
CELL_PARAMETERS angstrom
-2.564 -3.293 1.538
-0.036 -4.442 0.229
1.761 -1.316 4.553
ATOMIC_POSITIONS angstrom
Pb -0.210 -2.263 1.580
Ru 1.573 -1.501 4.354
Ru -0.232 -4.340 3.360
Be -0.630 -6.788 4.740
! Relative energy among the computed polymorphs   15 meV/atom
! ΔE_f   0.31 eV per atom

# 11
! La5Nd4Pb4, optimized geometry, DFT PBE; values from VASP
&SYSTEM
  ibrav = 0, nat = 13, ntyp = 3
/
ATOMIC_SPECIES
La 138.91 La.upf
Nd 144.24 Nd.upf
Pb 207.20 Pb.upf
CELL_PARAMETERS angstrom
-2.191 -3.698 2.326
3.903 -8.084 -4.041
5.810 -1.803 7.740
ATOMIC_POSITIONS angstrom
La 5.966 -11.173 3.259
La 1.556 -2.412 2.766
La 0.000 0.000 0.000
La 1.863 -7.952 -0.620
La 5.659 -5.632 6.645
Nd 3.966 -8.597 5.470
Nd 2.760 -5.593 3.976
Nd 3.557 -4.987 0.555
Nd 4.762 -7.991 2.049
Pb 0.409 -5.676 1.630
Pb 7.113 -7.909 4.395
Pb 3.180 -10.856 1.138
Pb 4.342 -2.728 4.886
! ΔE_f   -0.42 eV per atom

# 12
! Tb2YRe, optimized geometry, DFT PBE; values from VASP
&SYSTEM
  ibrav = 0, nat = 4, ntyp = 3
/
ATOMIC_SPECIES
Y 88.91 Y.upf
Re 186.21 Re.upf
Tb 158.93 Tb.upf
CELL_PARAMETERS angstrom
-0.214 2.321 -2.255
-2.351 -0.118 -2.231
-7.657 6.763 5.354
ATOMIC_POSITIONS angstrom
Y -5.111 4.483 0.434
Re 0.000 0.000 0.000
Tb -6.057 5.345 3.743
Tb -4.165 3.621 -2.875
! ΔE_f   0.82 eV per atom

# 13
! TmGaCuAu, optimized geometry, DFT PBE; values from VASP
&SYSTEM
  ibrav = 0, nat = 4, ntyp = 4
/
ATOMIC_SPECIES
Tm 168.93 Tm.upf
Au 196.97 Au.upf
Cu 63.55 Cu.upf
Ga 69.72 Ga.upf
CELL_PARAMETERS angstrom
-3.844 -1.138 -2.404
0.198 -3.310 -3.294
-2.064 -4.132 0.713
ATOMIC_POSITIONS angstrom
Tm 0.000 0.000 0.000
Au -4.282 -6.436 -3.738
Cu -1.427 -2.145 -1.246
Ga -2.855 -4.291 -2.492
! ΔE_f   -0.49 eV per atom

# 14
! Nb2FeN, optimized geometry, DFT PBE; values from VASP
&SYSTEM
  ibrav = 0, nat = 8, ntyp = 3
/
ATOMIC_SPECIES
Nb 92.91 Nb.upf
Fe 55.84 Fe.upf
N 14.01 N.upf
CELL_PARAMETERS angstrom
-0.303 4.926 3.570
-5.737 -1.420 1.472
-1.999 0.094 4.897
ATOMIC_POSITIONS angstrom
Nb -1.389 2.650 3.441
Nb -4.140 0.026 2.789
Nb -4.084 1.306 5.645
Nb -6.465 3.217 8.002
Fe 0.000 0.000 0.000
Fe -2.661 3.386 5.494
N -3.020 1.753 2.521
N -5.378 0.213 4.445
! Raw formation energy   -0.55 kcal/mol of atoms

# 15
! Ta2CuW, optimized geometry, DFT PBE; values from VASP
&SYSTEM
  ibrav = 0, nat = 4, ntyp = 3
/
ATOMIC_SPECIES
Cu 63.55 Cu.upf
Ta 180.95 Ta.upf
W 183.84 W.upf
CELL_PARAMETERS angstrom
4.650 0.000 0.000
0.000 2.734 -0.012
0.000 0.731 5.168
ATOMIC_POSITIONS angstrom
Cu 2.325 2.465 3.929
Ta 0.000 0.730 5.108
Ta 2.325 0.897 1.361
W 0.000 1.838 2.504
! Relative energy among the computed polymorphs   154 meV/atom
! ΔE_f   0.19 eV per atom

# 16
! Li3AlAu, optimized geometry, DFT PBE; values from VASP
&SYSTEM
  ibrav = 0, nat = 5, ntyp = 3
/
ATOMIC_SPECIES
Li 6.94 Li.upf
Al 26.98 Al.upf
Au 196.97 Au.upf
CELL_PARAMETERS angstrom
2.879 -0.003 -0.211
-0.002 4.532 -0.007
1.089 2.251 6.372
ATOMIC_POSITIONS angstrom
Li 2.643 0.702 1.821
Li 3.115 2.961 3.288
Li 2.161 2.972 0.168
Al 1.839 2.961 5.769
Au 1.632 5.226 4.307
! Relative energy among the computed polymorphs   57 meV/atom
! ΔE_f   -0.30 eV per atom

# 17
! Pa2NiS2N2, optimized geometry, DFT PBE; values from VASP
&SYSTEM
  ibrav = 0, nat = 7, ntyp = 4
/
ATOMIC_SPECIES
Pa 231.04 Pa.upf
Ni 58.69 Ni.upf
S 32.06 S.upf
N 14.01 N.upf
CELL_PARAMETERS angstrom
-3.757 0.822 -0.659
1.713 -2.948 -1.896
-2.737 -6.453 7.558
ATOMIC_POSITIONS angstrom
Pa -2.915 -2.748 1.639
Pa -1.866 -5.831 3.365
Ni 0.000 0.000 0.000
S -2.183 -5.146 6.028
S -0.554 -1.307 1.530
N -3.520 -4.174 3.309
N -1.261 -4.405 1.695
! Raw formation energy   -31.38 kcal/mol of atoms

# 18
! NpNi3S3, optimized geometry, DFT PBE; values from VASP
&SYSTEM
  ibrav = 0, nat = 14, ntyp = 3
/
ATOMIC_SPECIES
Np 237.00 Np.upf
Ni 58.69 Ni.upf
S 32.06 S.upf
CELL_PARAMETERS angstrom
5.740 0.000 2.922
2.126 5.332 2.922
-0.087 -0.059 7.269
ATOMIC_POSITIONS angstrom
Np 2.536 1.719 9.216
Np 5.244 3.554 3.898
Ni 4.271 4.172 8.218
Ni 4.735 0.612 7.226
Ni 1.625 2.422 6.267
Ni 6.155 2.851 6.847
Ni 3.044 4.661 5.888
Ni 3.509 1.102 4.896
S 2.631 3.087 4.305
S 5.739 1.300 5.271
S 5.257 4.849 6.250
S 2.523 0.424 6.863
S 2.041 3.973 7.842
S 5.149 2.186 8.808
! Raw formation energy   -16.15 kcal/mol of atoms

# 19
! LaPrDy2Ho4, optimized geometry, DFT PBE; values from VASP
&SYSTEM
  ibrav = 0, nat = 16, ntyp = 4
/
ATOMIC_SPECIES
La 138.91 La.upf
Pr 140.91 Pr.upf
Dy 162.50 Dy.upf
Ho 164.93 Ho.upf
CELL_PARAMETERS angstrom
7.155 0.230 -0.243
-0.492 12.001 -3.002
-3.014 -8.679 8.291
ATOMIC_POSITIONS angstrom
La 1.823 1.775 2.521
La 3.648 3.551 5.044
Pr 6.907 6.233 -1.744
Pr -1.752 1.659 2.644
Dy 0.070 3.438 5.165
Dy 2.071 -4.225 4.026
Dy 5.647 -4.108 3.903
Dy 3.331 6.116 -1.621
Ho 1.428 9.034 -2.293
Ho 3.739 -1.196 3.225
Ho -0.091 4.750 1.820
Ho 2.221 -5.480 7.339
Ho 4.993 9.146 -2.411
Ho 3.486 4.869 1.689
Ho 0.163 -1.319 3.358
Ho -1.346 -5.591 7.455
! ΔE_f   0.02 eV per atom

# 20
! AcDy6Y12, optimized geometry, DFT PBE; values from VASP
&SYSTEM
  ibrav = 0, nat = 19, ntyp = 3
/
ATOMIC_SPECIES
Ac 227.00 Ac.upf
Dy 162.50 Dy.upf
Y 88.91 Y.upf
CELL_PARAMETERS angstrom
8.683 -0.215 -1.247
-1.408 8.571 -1.247
-0.187 -0.215 8.770
ATOMIC_POSITIONS angstrom
Ac 0.000 0.000 0.000
Dy 7.114 2.569 6.300
Dy 6.443 7.400 0.791
Dy 1.565 7.400 6.300
Dy 0.645 0.741 5.485
Dy -0.026 5.572 -0.023
Dy 5.523 0.741 -0.023
Y 6.164 1.789 3.138
Y 2.888 0.538 2.558
Y 2.555 2.935 -0.175
Y 6.953 5.206 3.719
Y 4.533 5.206 6.452
Y 4.200 7.603 3.719
Y 3.227 6.352 0.537
Y 1.241 4.070 5.739
Y 0.924 6.352 3.138
Y 3.861 1.789 5.739
Y 5.847 4.070 0.537
Y 0.135 2.935 2.558
! ΔE_f   0.21 eV per atom

# 21
! Y2HfMn, optimized geometry, DFT PBE; values from VASP
&SYSTEM
  ibrav = 0, nat = 8, ntyp = 3
/
ATOMIC_SPECIES
Y 88.91 Y.upf
Mn 54.94 Mn.upf
Hf 178.49 Hf.upf
CELL_PARAMETERS angstrom
-6.566 4.049 -2.609
-4.363 -6.868 0.322
-6.191 -0.819 1.602
ATOMIC_POSITIONS angstrom
Y -5.760 1.197 -1.016
Y -5.533 -3.722 0.102
Y -9.033 -2.130 0.366
Y -13.916 -2.624 -0.820
Mn -5.465 -1.410 -1.143
Mn -8.010 -4.549 0.391
Hf 0.000 0.000 0.000
Hf -9.111 0.910 -1.075
! Relative energy among the computed polymorphs   79 meV/atom
! ΔE_f   0.68 eV per atom

# 22
! LiTb3Er2Te6, optimized geometry, DFT PBE; values from VASP
&SYSTEM
  ibrav = 0, nat = 12, ntyp = 4
/
ATOMIC_SPECIES
Li 6.94 Li.upf
Tb 158.93 Tb.upf
Er 167.26 Er.upf
Te 127.60 Te.upf
CELL_PARAMETERS angstrom
4.330 0.000 0.000
0.000 8.667 0.295
-2.165 -2.513 9.115
ATOMIC_POSITIONS angstrom
Li 2.165 0.000 0.000
Tb 2.165 4.334 0.148
Tb 2.165 -0.195 6.103
Tb 0.000 6.349 3.307
Er 2.165 4.071 6.245
Er 0.000 2.083 3.165
Te 0.000 6.247 6.436
Te 2.165 4.196 3.208
Te 2.165 -0.093 2.974
Te 0.000 2.074 0.094
Te 2.165 4.079 9.316
Te 0.000 1.958 6.202
! Raw formation energy   -29.87 kcal/mol of atoms

# 23
! Li2LaSe, optimized geometry, DFT PBE; values from VASP
&SYSTEM
  ibrav = 0, nat = 4, ntyp = 3
/
ATOMIC_SPECIES
La 138.91 La.upf
Li 6.94 Li.upf
Se 78.96 Se.upf
CELL_PARAMETERS angstrom
4.253 0.007 0.000
-0.007 4.253 0.000
0.000 0.000 5.507
ATOMIC_POSITIONS angstrom
La -0.003 2.127 2.753
Li 0.000 0.000 0.000
Li 2.123 2.130 0.000
Se 2.127 0.003 2.753
! Raw formation energy   -16.74 kcal/mol of atoms

# 24
Computed, not measured: a relaxed MgH5Pd2Rh crystal at the PBE level of DFT. Values from VASP.

Geometry as Quantum ESPRESSO input:
```
&SYSTEM
  ibrav = 0, nat = 9, ntyp = 4
/
ATOMIC_SPECIES
Mg 24.30 Mg.upf
H 1.01 H.upf
Pd 106.42 Pd.upf
Rh 102.91 Rh.upf
CELL_PARAMETERS angstrom
3.379 0.000 0.000
0.000 4.879 0.000
-1.690 -2.439 4.923
ATOMIC_POSITIONS angstrom
Mg 0.000 2.439 0.000
H 1.690 3.729 1.309
H 0.000 -1.289 3.614
H 0.000 1.289 3.614
H 1.690 1.150 1.309
H 0.000 0.000 0.000
Pd 0.000 0.000 2.488
Pd 1.690 2.439 2.435
Rh 1.690 0.000 0.000
```

| no. | energy (eV/atom) |
| --- | --- |
| 1 | -8.890 |
| 2 | -3.452 |
| 3 | -5.126 |
| 4 | -6.548 |
| 5 | -3.025 |
| 6 | -3.397 |
| 7 | -1.406 |
| 8 | -4.625 |
| 9 | -7.239 |
| 10 | -6.191 |
| 11 | -4.920 |
| 12 | -6.223 |
| 13 | -4.209 |
| 14 | -9.256 |
| 15 | -10.002 |
| 16 | -2.848 |
| 17 | -8.458 |
| 18 | -6.796 |
| 19 | -4.633 |
| 20 | -5.546 |
| 21 | -7.329 |
| 22 | -4.943 |
| 23 | -3.786 |
| 24 | -4.191 |